Below is a geometry-optimized ScSnW structure, with properties calculated at the PBE level.

The structure in POSCAR format:
```
ScSnW
1.0
0.0000 3.2379 3.2379
3.2379 0.0000 3.2379
3.2379 3.2379 0.0000
Sc Sn W
1 1 1
Direct
0.2500 0.2500 0.2500
0.0000 0.0000 0.0000
0.7500 0.7500 0.7500
```

Properties
* SG: No. 216
* total energy: -7.21 eV/atom



Below is a geometry-optimized Ho3Ni4Sn2Ge2 structure, with properties calculated at the PBE level.

The structure in POSCAR format:
```
Ho3Ni4Sn2Ge2
1.0
-2.1246 3.3584 7.0699
2.1246 -3.3584 7.0699
2.1246 3.3584 -7.0699
Ge Ho Ni Sn
2 3 4 2
Direct
0.3088 0.0000 0.3088
0.6912 0.0000 0.6912
0.3745 0.3745 0.0000
0.6255 0.6255 0.0000
0.0000 0.5000 0.5000
0.3478 0.1595 0.1883
0.0288 0.8405 0.1883
0.6522 0.8405 0.8117
0.9712 0.1595 0.8117
0.7803 0.2803 0.5000
0.2197 0.7197 0.5000
```

Properties
* SG: No. 71
* total energy: -5.50 eV/atom



Below is a geometry-optimized Hf2Zr4As3C3 structure, with properties calculated at the PBE level.

The structure in POSCAR format:
```
Hf2Zr4As3C3
1.0
1.3271 5.5266 -1.9076
-3.5009 4.6205 1.5291
7.7285 -1.4965 10.4626
As C Hf Zr
6 6 4 8
Direct
0.7446 0.5838 0.2497
0.0877 0.9123 0.2500
0.4162 0.2554 0.2503
0.5838 0.7446 0.7497
0.9123 0.0877 0.7500
0.2554 0.4162 0.7503
0.6633 0.1735 0.0000
0.0000 0.5000 0.0000
0.3367 0.8265 0.0000
0.1735 0.6633 0.5000
0.5000 0.0000 0.5000
0.8265 0.3367 0.5000
0.3649 0.5325 0.0972
0.4675 0.6351 0.4028
0.5325 0.3649 0.5972
0.6351 0.4675 0.9028
0.0339 0.1995 0.0999
0.6998 0.8676 0.1000
0.1324 0.3002 0.4000
0.8005 0.9661 0.4001
0.1995 0.0339 0.5999
0.8676 0.6998 0.6000
0.3002 0.1324 0.9000
0.9661 0.8005 0.9001
```

Properties
* SG: No. 15
* total energy: -8.95 eV/atom



Below is a geometry-optimized TaGeB4 structure, with properties calculated at the PBE level.

The structure in POSCAR format:
```
TaGeB4
1.0
4.4619 1.0738 1.0544
-0.5456 0.4846 4.6520
-0.0987 -3.1765 -3.4747
B Ge Ta
4 1 1
Direct
0.5906 0.2539 0.3367
0.0828 0.7461 0.3367
0.9172 0.2539 0.6633
0.4094 0.7461 0.6633
0.0000 0.0000 0.0000
0.5000 0.5000 0.0000
```

Properties
* SG: No. 71
* total energy: -7.16 eV/atom